Entry 1:
{
  "formula": "Ho4Rh",
  "functional": "PBE",
  "state": "relaxed",
  "lattice_angstrom": [[0.0000, 5.3481, 5.3481], [5.3481, 0.0000, 5.3481], [5.3481, 5.3481, 0.0000]],
  "species": ["Ho", "Ho", "Ho", "Ho", "Rh", "Ho", "Ho", "Ho", "Rh", "Ho"],
  "frac_coords": [[0.3890, 0.8330, 0.3890], [0.3890, 0.3890, 0.3890], [0.8330, 0.3890, 0.3890], [0.8610, 0.8610, 0.4170], [0.2500, 0.2500, 0.2500], [0.8610, 0.8610, 0.8610], [0.3890, 0.3890, 0.8330], [0.8610, 0.4170, 0.8610], [0.0000, 0.0000, 0.0000], [0.4170, 0.8610, 0.8610]],
  "relative_energy_ev_per_atom": 0.438,
  "volume_a3_per_atom": 30.6,
  "dft_energy_ry_per_atom": -0.372,
  "dos_ef_per_ev_cell": 12.5,
  "formation_enthalpy_0k_ev_per_atom": 0.074
}

---

Entry 2:
{
  "formula": "HoRh2",
  "functional": "PBE",
  "state": "relaxed",
  "lattice_angstrom": [[5.3249, 0.0000, 0.0000], [2.6625, 4.6115, 0.0000], [2.6625, 1.5372, 4.3478]],
  "species": ["Ho", "Rh", "Rh", "Rh", "Ho", "Rh"],
  "frac_coords": [[0.7500, 0.7500, 0.7500], [0.1250, 0.6250, 0.1250], [0.1250, 0.1250, 0.1250], [0.1250, 0.1250, 0.6250], [0.5000, 0.5000, 0.5000], [0.6250, 0.1250, 0.1250]],
  "volume_a3_per_atom": 17.8,
  "dft_energy_ry_per_atom": -0.528,
  "dos_ef_per_ev_cell": 3.1,
  "formation_enthalpy_0k_ev_per_atom": -0.762
}

---

Entry 3:
{
  "formula": "HoRh4",
  "functional": "PBE",
  "state": "relaxed",
  "lattice_angstrom": [[-3.5964, 1.2147, -2.9161], [2.3044, -2.0136, -3.6808], [-2.1607, -4.1693, 0.9281]],
  "species": ["Rh", "Ho", "Rh", "Rh", "Rh"],
  "frac_coords": [[0.0000, 0.5000, 0.5000], [0.5000, 0.5000, 0.5000], [0.0000, 0.0000, 0.0000], [0.5000, 0.0000, 0.5000], [0.5000, 0.5000, 0.0000]],
  "volume_a3_per_atom": 21.9,
  "dft_energy_ry_per_atom": -0.393,
  "dos_ef_per_ev_cell": 9.4,
  "formation_enthalpy_0k_ev_per_atom": 1.451
}